A relaxed structure of KReSi. Source: the Alexandria database, functional PBE.

Geometry as POSCAR:
```
KReSi
1.0
0.000 3.451 3.451
3.451 0.000 3.451
3.451 3.451 0.000
K Re Si
1 1 1
Cartesian
0.000 0.000 0.000 K
1.726 1.726 1.726 Re
5.177 5.177 5.177 Si
```

Space group: F-43m (216)
E above lowest polymorph, eV/f.u.: 6.49
E_form (uncorrected), eV per atom: 2.637
Raw total energy, eV/atom: -3.685